Material: CsKBa2Cd
Method: DFT, PBE
State: optimized geometry

Results
energy of formation from the pure elements = 20 kJ/mol of formula units
energy = -6.50 eV/cell
energy relative to the lowest polymorph listed for this composition = 17 meV/atom

Lattice parameters (Å, degrees): 6.884 6.884 7.513 90.00 90.00 90.00
Sites, in units of the cell vectors:
Cs  0.000  0.000  0.500
K  0.500  0.500  0.500
Ba  0.000  0.500  0.000
Ba  0.500  0.000  0.000
Cd  0.000  0.000  0.000

Material: Ca3PN
Method: DFT, PBE
State: optimized geometry

Results
energy = -24.85 eV/cell
energy relative to the lowest polymorph listed for this composition = 0 meV/atom
ΔE_f (raw) = -1.02 eV/atom

Lattice parameters (Å, degrees): 4.725 4.725 4.725 90.00 90.00 90.00
Sites, in units of the cell vectors:
P  0.500  0.500  0.500
Ca  0.000  0.500  0.000
Ca  0.000  0.000  0.500
Ca  0.500  0.000  0.000
N  0.000  0.000  0.000

Material: Er3Tl2Pb
Method: DFT, PBE
State: optimized geometry

Results
energy of formation from the pure elements = -196 kJ/mol of formula units
energy = -48.33 eV/cell
energy relative to the lowest polymorph listed for this composition = 0 meV/atom

Lattice parameters (Å, degrees): 4.260 5.040 15.137 90.00 90.00 90.00
Sites, in units of the cell vectors:
Er  0.500  0.500  0.666
Er  0.501  0.000  0.500
Er  0.500  0.500  0.334
Er  0.500  0.000  0.166
Er  0.499  0.500  0.000
Er  0.500  0.000  0.834
Tl  0.000  0.000  0.669
Tl  0.000  0.000  0.331
Tl  0.000  0.500  0.169
Tl  0.000  0.500  0.831
Pb  0.000  0.500  0.500
Pb  0.000  0.000  0.000

> Which value of energy relative to the lowest polymorph listed for this composition does entry 2 give?

0 meV/atom

> energy relative to the lowest polymorph listed for this composition of number 3 (Er3Tl2Pb)?

0 meV/atom

> Which value of energy relative to the lowest polymorph listed for this composition does entry 1 give?

17 meV/atom

> What is the energy relative to the lowest polymorph listed for this composition in the first record?

17 meV/atom